# PBE Pr5Nd6Ho2, relaxed
# ΔH_f (0 K) ... 8.51 kJ per mole of atoms
# Size of the total moment ... 0.0 μB per formula unit
# Calculated total energy ... -4.655 eV per atom
data_Pr5Nd6Ho2
_space_group_name_H-M_alt 'P b a m'
_space_group_IT_number 55
_cell_length_a 11.872
_cell_length_b 21.118
_cell_length_c 3.675
_cell_angle_alpha 90.00
_cell_angle_beta 90.00
_cell_angle_gamma 90.00
loop_
_space_group_symop_operation_xyz
'x,y,z'
'-x,-y,-z'
'-x,-y,z'
'x,y,-z'
'x+1/2,-y+1/2,-z'
'-x+1/2,y+1/2,z'
'-x+1/2,y+1/2,-z'
'x+1/2,-y+1/2,z'
loop_
_atom_site_label
_atom_site_type_symbol
_atom_site_fract_x
_atom_site_fract_y
_atom_site_fract_z
_atom_site_occupancy
Pr1 Pr 0.000 0.000 0.000 1
Pr2 Pr 0.086 0.273 0.000 1
Pr3 Pr 0.197 0.554 0.000 1
Nd1 Nd 0.063 0.419 0.500 1
Nd2 Nd 0.082 0.132 0.500 1
Nd3 Nd 0.174 0.861 0.000 1
Ho1 Ho 0.170 0.711 0.500 1